First-principles (GGA-PBEsol) data for a relaxed InHO2 crystal, as listed in the Alexandria database.

Lattice parameters (Å, degrees): 3.2885 4.5571 5.2923 90.00 90.00 90.00
Space group Pmn2_1 (No. 31)
Unique sites:
In: 0.0000 0.2352 0.0000 (multiplicity 2)
H: 0.0000 0.2836 0.4866 (multiplicity 2)
O: 0.0000 0.0281 0.6335 (multiplicity 2)
O: 0.0000 0.4775 0.3665 (multiplicity 2)

## Properties
- crystal system = orthorhombic
- calculated total energy (eV per atom) = -5.638